1.
Entry from the Alexandria database: a geometry-optimized TiS2NF structure (PBE).

Output
Offset from the most stable computed form in eV per atom: 0.8632
Formation energy (no corrections) in eV/atom: 0.95

Cell and atoms, written as CIF:
```
data_TiS2NF
_chemical_formula_sum 'Ti1 S2 N1 F1'
_cell_length_a 4.293
_cell_length_b 4.293
_cell_length_c 3.717
_cell_angle_alpha 90.00
_cell_angle_beta 90.00
_cell_angle_gamma 90.00
_symmetry_space_group_name_H-M 'P 1'
_symmetry_Int_Tables_number 1
_symmetry_space_group_name_Hall 'P 1'
loop_
_atom_site_label
_atom_site_fract_x
_atom_site_fract_y
_atom_site_fract_z
Ti1 0.000 0.000 0.000
S1 0.000 0.500 0.500
S2 0.500 0.000 0.500
N1 0.500 0.500 0.000
F1 0.500 0.500 0.500
```

=====

2.
Entry from the Alexandria database: a geometry-optimized La5SmEr4 structure (PBE).

Output
ΔE_f in eV per atom: 0.025

Cell and atoms, written as CIF:
```
data_La5SmEr4
_chemical_formula_sum 'La5 Sm1 Er4'
_cell_length_a 3.697
_cell_length_b 3.697
_cell_length_c 24.984
_cell_angle_alpha 90.00
_cell_angle_beta 90.00
_cell_angle_gamma 90.00
_symmetry_space_group_name_H-M 'P 1'
_symmetry_Int_Tables_number 1
_symmetry_space_group_name_Hall 'P 1'
loop_
_atom_site_label
_atom_site_fract_x
_atom_site_fract_y
_atom_site_fract_z
La1 0.000 0.000 0.000
La2 0.000 0.000 0.198
La3 0.000 0.000 0.397
La4 0.000 0.000 0.603
La5 0.000 0.000 0.802
Sm1 0.500 0.500 0.500
Er1 0.500 0.500 0.099
Er2 0.500 0.500 0.297
Er3 0.500 0.500 0.703
Er4 0.500 0.500 0.901
```

=====

3.
Entry from the Alexandria database: a geometry-optimized Ho5Hg2Bi structure (PBE).

Output
ΔE_f in eV per atom: -0.482

Cell and atoms, written as CIF:
```
data_Ho5Hg2Bi
_chemical_formula_sum 'Ho10 Hg4 Bi2'
_cell_length_a 8.781
_cell_length_b 8.781
_cell_length_c 8.781
_cell_angle_alpha 123.75
_cell_angle_beta 123.75
_cell_angle_gamma 83.63
_symmetry_space_group_name_H-M 'P 1'
_symmetry_Int_Tables_number 1
_symmetry_space_group_name_Hall 'P 1'
loop_
_atom_site_label
_atom_site_fract_x
_atom_site_fract_y
_atom_site_fract_z
Ho1 0.000 0.000 0.000
Ho2 0.006 0.506 0.804
Ho3 0.202 0.006 0.500
Ho4 0.298 0.798 0.804
Ho5 0.494 0.298 0.500
Ho6 0.500 0.500 0.000
Ho7 0.506 0.702 0.500
Ho8 0.702 0.202 0.196
Ho9 0.798 0.994 0.500
Ho10 0.994 0.494 0.196
Hg1 0.142 0.358 0.500
Hg2 0.358 0.858 0.217
Hg3 0.642 0.142 0.783
Hg4 0.858 0.642 0.500
Bi1 0.250 0.250 0.000
Bi2 0.750 0.750 0.000
```